No. 1
Computed, not measured: crystalline RbBeIBr2 at its relaxed geometry at the PBE level of DFT.

Summary:
VASP energy in eV/atom: -2.13
ρ in Mg/m³: 3.0
Fermi-level density of states in states/eV/f.u.: 3.83
Space-group type: P4/mmm (123)
M_tot in μB/cell: 0.00
Uncorrected formation energy in eV per formula unit: -1.06

Cell and atoms, written as CIF:
```
data_RbBeIBr2
_cell_length_a 6.911
_cell_length_b 4.433
_cell_length_c 6.911
_cell_angle_alpha 90.00
_cell_angle_beta 90.00
_cell_angle_gamma 90.00
_symmetry_space_group_name_H-M 'P 1'
_symmetry_Int_Tables_number 1
loop_
_symmetry_equiv_pos_as_xyz
'x,y,z'
loop_
_atom_site_label
_atom_site_type_symbol
_atom_site_fract_x
_atom_site_fract_y
_atom_site_fract_z
I1 I 0.000 0.000 0.000
Br1 Br 0.000 0.000 0.500
Br2 Br 0.500 0.000 0.000
Be1 Be 0.000 0.500 0.000
Rb1 Rb 0.500 0.500 0.500
```

=====

No. 2
Computed, not measured: crystalline YBrO at its relaxed geometry at the PBE level of DFT.

Summary:
VASP energy in eV/atom: -7.08
ρ in Mg/m³: 4.4
Fermi-level density of states in states/eV/f.u.: 0.00
Space-group type: P3m1 (156)
M_tot in μB/cell: 0.00
Uncorrected formation energy in eV per formula unit: -8.14

Cell and atoms, written as CIF:
```
data_YBrO
_cell_length_a 3.717
_cell_length_b 3.717
_cell_length_c 5.779
_cell_angle_alpha 90.00
_cell_angle_beta 90.00
_cell_angle_gamma 120.00
_symmetry_space_group_name_H-M 'P 1'
_symmetry_Int_Tables_number 1
loop_
_symmetry_equiv_pos_as_xyz
'x,y,z'
loop_
_atom_site_label
_atom_site_type_symbol
_atom_site_fract_x
_atom_site_fract_y
_atom_site_fract_z
Br1 Br 0.000 0.000 0.066
Y1 Y 0.667 0.333 0.420
O1 O 0.333 0.667 0.514
```

=====

No. 3
Computed, not measured: crystalline TbSmGdCd at its relaxed geometry at the PBE level of DFT.

Summary:
VASP energy in eV/atom: -6.12
ρ in Mg/m³: 8.2
Fermi-level density of states in states/eV/f.u.: 5.23
Space-group type: F-43m (216)
M_tot in μB/cell: 7.78
Energy of formation from the pure elements in eV per atom: -0.0341

Cell and atoms, written as CIF:
```
data_TbSmGdCd
_cell_length_a 5.502
_cell_length_b 5.502
_cell_length_c 5.502
_cell_angle_alpha 60.00
_cell_angle_beta 60.00
_cell_angle_gamma 60.00
_symmetry_space_group_name_H-M 'P 1'
_symmetry_Int_Tables_number 1
loop_
_symmetry_equiv_pos_as_xyz
'x,y,z'
loop_
_atom_site_label
_atom_site_type_symbol
_atom_site_fract_x
_atom_site_fract_y
_atom_site_fract_z
Gd1 Gd 0.500 0.500 0.500
Sm1 Sm 0.000 0.000 0.000
Tb1 Tb 0.250 0.250 0.250
Cd1 Cd 0.750 0.750 0.750
```

=====

No. 4
Computed, not measured: crystalline Nb3Tc2Rh at its relaxed geometry at the PBE level of DFT.

Summary:
VASP energy in eV/atom: -10.01
ρ in Mg/m³: 9.8
Fermi-level density of states in states/eV/f.u.: 5.21
Space-group type: P4/mmm (123)
M_tot in μB/cell: 0.00
Energy of formation from the pure elements in eV per atom: -0.2994

Cell and atoms, written as CIF:
```
data_Nb3Tc2Rh
_cell_length_a 3.205
_cell_length_b 3.205
_cell_length_c 9.544
_cell_angle_alpha 90.00
_cell_angle_beta 90.00
_cell_angle_gamma 90.00
_symmetry_space_group_name_H-M 'P 1'
_symmetry_Int_Tables_number 1
loop_
_symmetry_equiv_pos_as_xyz
'x,y,z'
loop_
_atom_site_label
_atom_site_type_symbol
_atom_site_fract_x
_atom_site_fract_y
_atom_site_fract_z
Nb1 Nb 0.000 0.000 0.329
Nb2 Nb 0.000 0.000 0.000
Nb3 Nb 0.000 0.000 0.671
Tc1 Tc 0.500 0.500 0.168
Tc2 Tc 0.500 0.500 0.832
Rh1 Rh 0.500 0.500 0.500
```

=====

> Which value of M_tot does entry 1 give?

0.00 μB/cell